# 1
Compound: Sm3ErSn2
Source: Alexandria via LeMat-Bulk
Functional: PBE
Structure: relaxed

Results
Energy above the lowest structure with this stoichiometry in meV/atom: 0
Energy of formation from the pure elements in eV per atom: -0.579
Total DFT energy (no corrections) in eV/f.u.: -30.199

Cell lengths 4.5827, 4.5827, 8.6391 Å; angles 90.00, 90.00, 90.00 degrees
With the nearest neighbours (Å) after each atom.
Sites, in units of the cell vectors:
Sm 0.0000 0.0000 0.0000  4 Er 3.24, 4 Sn 3.32
Sm 0.0000 0.5000 0.6517  5 Sn 3.23-3.30
Sm 0.5000 0.0000 0.3483  5 Sn 3.23-3.30
Er 0.5000 0.5000 0.0000  4 Sm 3.24, 4 Sn 3.32
Sn 0.0000 0.5000 0.2775  7 Sm 3.23-3.32, 2 Er 3.32
Sn 0.5000 0.0000 0.7225  7 Sm 3.23-3.32, 2 Er 3.32

# 2
Compound: LiNd2B2Rh5
Source: Alexandria via LeMat-Bulk
Functional: PBE
Structure: relaxed

Results
Energy of formation from the pure elements in eV per atom: -0.539
Total DFT energy (no corrections) in eV/f.u.: -66.953

Cell lengths 9.7129, 9.7129, 3.2315 Å; angles 90.00, 90.00, 90.00 degrees
With the nearest neighbours (Å) after each atom.
Sites, in units of the cell vectors:
Li 0.0000 0.0000 0.0000  8 Rh 2.80
Li 0.5000 0.5000 0.0000  8 Rh 2.80
Nd 0.1766 0.3234 0.0000  3 B 2.75-2.96, 10 Rh 2.92-3.04
Nd 0.3234 0.8234 0.0000  3 B 2.75-2.96, 10 Rh 2.92-3.04
Nd 0.6766 0.1766 0.0000  3 B 2.75-2.96, 10 Rh 2.92-3.04
Nd 0.8234 0.6766 0.0000  3 B 2.75-2.96, 10 Rh 2.92-3.04
B 0.1230 0.6230 0.0000  6 Rh 2.25-2.34
B 0.3770 0.1230 0.0000  6 Rh 2.25-2.34
B 0.6230 0.8770 0.0000  6 Rh 2.25-2.34
B 0.8770 0.3770 0.0000  6 Rh 2.25-2.34
Rh 0.0000 0.5000 0.5000  4 B 2.34
Rh 0.0695 0.7750 0.5000  2 B 2.25
Rh 0.2250 0.0695 0.5000  2 B 2.25
Rh 0.2750 0.5695 0.5000  2 B 2.25
Rh 0.4305 0.2750 0.5000  2 B 2.25
Rh 0.5000 0.0000 0.5000  4 B 2.34
Rh 0.5695 0.7250 0.5000  2 B 2.25
Rh 0.7250 0.4305 0.5000  2 B 2.25
Rh 0.7750 0.9305 0.5000  2 B 2.25
Rh 0.9305 0.2250 0.5000  2 B 2.25

# 3
Compound: Zr2GaI8
Source: Alexandria via LeMat-Bulk
Functional: PBE
Structure: relaxed

Results
Total DFT energy (no corrections) in eV/f.u.: -40.070

Cell lengths 9.3392, 9.3392, 7.6853 Å; angles 95.91, 95.91, 72.57 degrees
With the nearest neighbours (Å) after each atom.
Sites, in units of the cell vectors:
Zr 0.1972 0.1972 0.1464  4 I 2.72-2.75
Zr 0.8028 0.8028 0.8536  4 I 2.72-2.75
Ga 0.0000 0.0000 0.5000  6 I 3.32-3.34
I 0.0852 0.7012 0.7320  1 Zr 2.75
I 0.1865 0.1865 0.7871  1 Zr 2.75
I 0.2988 0.9148 0.2680  1 Zr 2.75
I 0.3714 0.3714 0.2914  1 Zr 2.72
I 0.6286 0.6286 0.7086  1 Zr 2.72
I 0.7012 0.0852 0.7320  1 Zr 2.75
I 0.8135 0.8135 0.2129  1 Zr 2.75
I 0.9148 0.2988 0.2680  1 Zr 2.75

# 4
Compound: Pu3InGe
Source: Alexandria via LeMat-Bulk
Functional: PBE
Structure: relaxed

Results
Energy of formation from the pure elements in eV per atom: -0.146
Total DFT energy (no corrections) in eV/f.u.: -51.080

Cell lengths 7.2535, 7.2535, 7.2535 Å; angles 90.00, 90.00, 90.00 degrees
With the nearest neighbours (Å) after each atom.
Sites, in units of the cell vectors:
Pu 0.0000 0.0000 0.0000  8 Pu 3.46, 6 In 3.63
Pu 0.2755 0.2755 0.2755  3 Ge 3.05, 3 Pu 3.26, 3 In 3.26
Pu 0.2755 0.2755 0.7245  3 Ge 3.05, 3 Pu 3.26, 3 In 3.26
Pu 0.2755 0.7245 0.2755  3 Ge 3.05, 3 Pu 3.26, 3 In 3.26
Pu 0.2755 0.7245 0.7245  3 Ge 3.05, 3 Pu 3.26, 3 In 3.26
Pu 0.7245 0.2755 0.2755  3 Ge 3.05, 3 Pu 3.26, 3 In 3.26
Pu 0.7245 0.2755 0.7245  3 Ge 3.05, 3 Pu 3.26, 3 In 3.26
Pu 0.7245 0.7245 0.2755  3 Ge 3.05, 3 Pu 3.26, 3 In 3.26
Pu 0.7245 0.7245 0.7245  3 Ge 3.05, 3 Pu 3.26, 3 In 3.26
In 0.0000 0.0000 0.5000  10 Pu 3.26-3.63, 4 Ge 3.63
In 0.0000 0.5000 0.0000  10 Pu 3.26-3.63, 4 Ge 3.63
In 0.5000 0.0000 0.0000  10 Pu 3.26-3.63, 4 Ge 3.63
Ge 0.0000 0.5000 0.5000  8 Pu 3.05
Ge 0.5000 0.0000 0.5000  8 Pu 3.05
Ge 0.5000 0.5000 0.0000  8 Pu 3.05

# 5
Compound: Li2CeH6
Source: Alexandria via LeMat-Bulk
Functional: PBE
Structure: relaxed

Results
Total DFT energy (no corrections) in eV/f.u.: -26.489

Cell lengths 5.6311, 5.6311, 5.6311 Å; angles 60.00, 60.00, 60.00 degrees
With the nearest neighbours (Å) after each atom.
Sites, in units of the cell vectors:
Li 0.2500 0.2500 0.2500  12 H 2.82
Li 0.7500 0.7500 0.7500  12 H 2.82
Ce 0.0000 0.0000 0.0000  6 H 2.15
H 0.2703 0.2703 0.7297  1 Ce 2.15
H 0.2703 0.7297 0.2703  1 Ce 2.15
H 0.2703 0.7297 0.7297  1 Ce 2.15
H 0.7297 0.2703 0.2703  1 Ce 2.15
H 0.7297 0.2703 0.7297  1 Ce 2.15
H 0.7297 0.7297 0.2703  1 Ce 2.15

# 6
Compound: TmFeP2Rh5
Source: Alexandria via LeMat-Bulk
Functional: PBE
Structure: relaxed

Results
Energy of formation from the pure elements in eV per atom: -0.279
Total DFT energy (no corrections) in eV/f.u.: -63.023

Cell lengths 4.3364, 4.3364, 9.2074 Å; angles 90.00, 90.00, 90.00 degrees
With the nearest neighbours (Å) after each atom.
Sites, in units of the cell vectors:
Tm 0.0000 0.0000 0.0000  12 Rh 2.93-3.07
Fe 0.5000 0.5000 0.5000  2 P 2.17
P 0.5000 0.5000 0.2645  1 Fe 2.17, 4 Rh 2.22
P 0.5000 0.5000 0.7355  1 Fe 2.17, 4 Rh 2.22
Rh 0.0000 0.5000 0.2133  2 P 2.22
Rh 0.0000 0.5000 0.7867  2 P 2.22
Rh 0.5000 0.0000 0.2133  2 P 2.22
Rh 0.5000 0.0000 0.7867  2 P 2.22
Rh 0.5000 0.5000 0.0000  2 P 2.44

# 7
Compound: Sm6DyTl5
Source: Alexandria via LeMat-Bulk
Functional: PBE
Structure: relaxed

Results
Energy above the lowest structure with this stoichiometry in meV/atom: 0
Energy of formation from the pure elements in eV per atom: -0.294
Total DFT energy (no corrections) in eV/f.u.: -48.281

Cell lengths 9.2696, 9.2696, 9.2696 Å; angles 148.28, 121.81, 67.81 degrees
With the nearest neighbours (Å) after each atom.
Sites, in units of the cell vectors:
Sm 0.0670 0.3290 0.7379  7 Tl 3.32-3.51, 4 Sm 3.52-3.65, 1 Dy 3.54
Sm 0.2308 0.0000 0.2308  6 Tl 3.28-3.41, 2 Dy 3.51, 4 Sm 3.65
Sm 0.4089 0.6710 0.7379  7 Tl 3.32-3.51, 4 Sm 3.52-3.65, 1 Dy 3.54
Sm 0.5911 0.3290 0.2621  7 Tl 3.32-3.51, 4 Sm 3.52-3.65, 1 Dy 3.54
Sm 0.7692 0.0000 0.7692  6 Tl 3.28-3.41, 2 Dy 3.51, 4 Sm 3.65
Sm 0.9330 0.6710 0.2621  7 Tl 3.32-3.51, 4 Sm 3.52-3.65, 1 Dy 3.54
Dy 0.5000 0.5000 0.0000  4 Tl 3.41, 8 Sm 3.51-3.54
Tl 0.0000 0.5000 0.5000  8 Sm 3.28-3.39
Tl 0.1756 0.1756 0.0000  8 Sm 3.32-3.41, 4 Tl 3.70
Tl 0.3512 0.8512 0.5000  8 Sm 3.34-3.51, 2 Dy 3.41, 2 Tl 3.70
Tl 0.6488 0.1488 0.5000  8 Sm 3.34-3.51, 2 Dy 3.41, 2 Tl 3.70
Tl 0.8244 0.8244 0.0000  8 Sm 3.32-3.41, 4 Tl 3.70

# 8
Compound: Rb2As2Pb
Source: Alexandria via LeMat-Bulk
Functional: PBE
Structure: relaxed

Results
Energy of formation from the pure elements in eV per atom: -0.306
Total DFT energy (no corrections) in eV/f.u.: -16.471

Cell lengths 6.8866, 6.8866, 11.3423 Å; angles 117.76, 117.76, 48.17 degrees
With the nearest neighbours (Å) after each atom.
Sites, in units of the cell vectors:
Rb 0.0227 0.0227 0.1913  6 As 3.68-3.72, 4 Pb 3.72-3.86, 2 Rb 4.02-4.08
Rb 0.1812 0.1812 0.6015  6 As 3.45-3.77
Rb 0.8188 0.8188 0.3985  6 As 3.45-3.77
Rb 0.9773 0.9773 0.8087  6 As 3.68-3.72, 4 Pb 3.72-3.86, 2 Rb 4.02-4.08
As 0.3837 0.3837 0.9508  1 As 2.54
As 0.4792 0.4792 0.5976  1 As 2.52
As 0.5208 0.5208 0.4024  1 As 2.52
As 0.6163 0.6163 0.0492  1 As 2.54
Pb 0.2918 0.2918 0.1397  2 As 2.90-2.91
Pb 0.7082 0.7082 0.8603  2 As 2.90-2.91

# 9
Compound: TbHo3Er2Sb6
Source: Alexandria via LeMat-Bulk
Functional: PBE
Structure: relaxed

Results
Total DFT energy (no corrections) in eV/f.u.: -65.579

Cell lengths 9.7633, 9.7633, 8.7340 Å; angles 102.87, 102.87, 25.84 degrees
With the nearest neighbours (Å) after each atom.
Sites, in units of the cell vectors:
Tb 0.0000 0.0000 0.0000  6 Sb 3.10
Ho 0.0000 0.0000 0.5000  6 Sb 3.08-3.09
Ho 0.3338 0.3338 0.1672  6 Sb 3.08-3.09
Ho 0.6662 0.6662 0.8328  6 Sb 3.08-3.09
Er 0.3331 0.3331 0.6668  6 Sb 3.08
Er 0.6669 0.6669 0.3332  6 Sb 3.08
Sb 0.1674 0.1674 0.0842  3 Ho 3.08-3.09, 2 Er 3.08, 1 Tb 3.10
Sb 0.1669 0.1669 0.5824  3 Er 3.08, 3 Ho 3.09
Sb 0.5005 0.5005 0.2519  3 Ho 3.08-3.09, 1 Er 3.08, 2 Tb 3.10
Sb 0.4995 0.4995 0.7481  3 Ho 3.08-3.09, 1 Er 3.08, 2 Tb 3.10
Sb 0.8331 0.8331 0.4176  3 Er 3.08, 3 Ho 3.09
Sb 0.8326 0.8326 0.9158  3 Ho 3.08-3.09, 2 Er 3.08, 1 Tb 3.10

# 10
Compound: NbReI2N
Source: Alexandria via LeMat-Bulk
Functional: PBE
Structure: relaxed

Results
Energy above the lowest structure with this stoichiometry in meV/atom: 283
Total DFT energy (no corrections) in eV/f.u.: -27.875

Cell lengths 5.7428, 5.7428, 3.9270 Å; angles 90.00, 90.00, 90.00 degrees
With the nearest neighbours (Å) after each atom.
Sites, in units of the cell vectors:
Nb 0.0000 0.0000 0.0000  2 N 1.96
Re 0.5000 0.5000 0.5000  8 I 3.48
I 0.0000 0.5000 0.0000  2 Nb 2.87
I 0.5000 0.0000 0.0000  2 Nb 2.87
N 0.0000 0.0000 0.5000  2 Nb 1.96

# 11
Compound: Tb2Nd3YAs6
Source: Alexandria via LeMat-Bulk
Functional: PBE
Structure: relaxed

Results
Energy of formation from the pure elements in eV per atom: -1.525
Total DFT energy (no corrections) in eV/f.u.: -76.227

Cell lengths 7.2824, 7.2824, 7.2786 Å; angles 99.59, 99.59, 119.99 degrees
With the nearest neighbours (Å) after each atom.
Sites, in units of the cell vectors:
Tb 0.1666 0.8334 0.0000  6 As 2.94
Tb 0.8334 0.1666 0.0000  6 As 2.94
Nd 0.0000 0.0000 0.5000  6 As 3.01
Nd 0.3333 0.6667 0.5000  6 As 3.00-3.01
Nd 0.6667 0.3333 0.5000  6 As 3.00-3.01
Y 0.5000 0.5000 0.0000  6 As 2.94
As 0.0864 0.4195 0.7583  1 Y 2.94, 2 Tb 2.94, 3 Nd 3.00-3.01
As 0.2475 0.2475 0.2419  1 Y 2.94, 2 Tb 2.94, 3 Nd 3.01
As 0.4195 0.0864 0.7583  1 Y 2.94, 2 Tb 2.94, 3 Nd 3.00-3.01
As 0.5805 0.9136 0.2417  1 Y 2.94, 2 Tb 2.94, 3 Nd 3.00-3.01
As 0.7525 0.7525 0.7581  1 Y 2.94, 2 Tb 2.94, 3 Nd 3.01
As 0.9136 0.5805 0.2417  1 Y 2.94, 2 Tb 2.94, 3 Nd 3.00-3.01

# 12
Compound: Li2TaAg
Source: Alexandria via LeMat-Bulk
Functional: PBE
Structure: relaxed

Results
Energy above the lowest structure with this stoichiometry in meV/atom: 346
Energy of formation from the pure elements in eV per atom: 0.489
Total DFT energy (no corrections) in eV/f.u.: -16.576

Cell lengths 4.8290, 4.8290, 2.7592 Å; angles 90.00, 90.00, 90.00 degrees
With the nearest neighbours (Å) after each atom.
Sites, in units of the cell vectors:
Li 0.0000 0.5000 0.0000  2 Li 2.76, 4 Ta 2.78, 4 Ag 2.78
Li 0.5000 0.0000 0.0000  2 Li 2.76, 4 Ta 2.78, 4 Ag 2.78
Ta 0.0000 0.0000 0.5000  2 Ta 2.76, 8 Li 2.78
Ag 0.5000 0.5000 0.5000  2 Ag 2.76, 8 Li 2.78

# 13
Compound: LiTeBrN2
Source: Alexandria via LeMat-Bulk
Functional: PBE
Structure: relaxed

Results
Energy above the lowest structure with this stoichiometry in meV/atom: 141
Total DFT energy (no corrections) in eV/f.u.: -14.608

Cell lengths 4.3494, 4.3494, 5.8759 Å; angles 90.00, 90.00, 90.00 degrees
With the nearest neighbours (Å) after each atom.
Sites, in units of the cell vectors:
Li 0.0000 0.0000 0.0000  4 Te 3.08
Te 0.5000 0.5000 0.0000  2 Br 2.94, 4 Li 3.08
Br 0.5000 0.5000 0.5000  4 N 2.17
N 0.0000 0.5000 0.5000  2 Br 2.17
N 0.5000 0.0000 0.5000  2 Br 2.17

# 14
Compound: LuAsS2
Source: Alexandria via LeMat-Bulk
Functional: PBE
Structure: relaxed

Results
Total DFT energy (no corrections) in eV/f.u.: -18.676

Cell lengths 8.4016, 8.4016, 8.4016 Å; angles 25.49, 25.49, 25.49 degrees
With the nearest neighbours (Å) after each atom.
Sites, in units of the cell vectors:
Lu 0.0000 0.0000 0.0000  2 S 2.63
As 0.5000 0.5000 0.5000  6 S 2.57
S 0.1080 0.1080 0.1080  3 As 2.57, 1 Lu 2.63
S 0.8920 0.8920 0.8920  3 As 2.57, 1 Lu 2.63

# 15
Compound: KNaLiSb
Source: Alexandria via LeMat-Bulk
Functional: PBE
Structure: relaxed

Results
Energy above the lowest structure with this stoichiometry in meV/atom: 11
Total DFT energy (no corrections) in eV/f.u.: -10.238

Cell lengths 5.3189, 5.3189, 5.3189 Å; angles 60.00, 60.00, 60.00 degrees
With the nearest neighbours (Å) after each atom.
Sites, in units of the cell vectors:
K 0.0000 0.0000 0.0000  4 Na 3.26, 4 Li 3.26
Na 0.2500 0.2500 0.2500  4 Sb 3.26, 4 K 3.26
Li 0.7500 0.7500 0.7500  4 K 3.26, 4 Sb 3.26
Sb 0.5000 0.5000 0.5000  4 Li 3.26, 4 Na 3.26

# 16
Compound: La2SbRhPb
Source: Alexandria via LeMat-Bulk
Functional: PBE
Structure: relaxed

Results
Total DFT energy (no corrections) in eV/f.u.: -22.401

Cell lengths 5.9601, 5.9601, 5.5424 Å; angles 90.00, 90.00, 90.00 degrees
With the nearest neighbours (Å) after each atom.
Sites, in units of the cell vectors:
La 0.0000 0.5000 0.0000  2 Sb 2.98
La 0.5000 0.0000 0.0000  2 Sb 2.98
Sb 0.0000 0.0000 0.0000  2 Pb 2.77, 4 La 2.98
Rh 0.5000 0.5000 0.5000  8 La 4.07, 4 Pb 4.21
Pb 0.0000 0.0000 0.5000  2 Sb 2.77